Tb2SmDyBi5 after structural relaxation. Source: Alexandria via LeMat-Bulk, functional PBE-GGA.

SG: P4/mmm (123)
V: 39.987 Å³/atom
E_form: 0.08 eV per atom
M_tot: 0.00 μB per cell

Lattice parameters (Å, degrees): 5.5013 5.5013 11.8914 90.00 90.00 90.00
Sites, in units of the cell vectors:
Tb 0.0000 0.0000 0.2296
Tb 0.0000 0.0000 0.7704
Sm 0.5000 0.5000 0.0000
Dy 0.5000 0.5000 0.5000
Bi 0.0000 0.0000 0.5000
Bi 0.0000 0.5000 0.0000
Bi 0.5000 0.0000 0.0000
Bi 0.5000 0.5000 0.2560
Bi 0.5000 0.5000 0.7440